SrCu2Se | GGA-PBE | relaxed

electronic total energy = -3.50 eV per atom
D(E_F) = 0.459 states/eV per cell

a b c (Å): 4.930 4.930 4.930
angles (deg): 60.00 60.00 60.00
Element x y z (fractional)
Sr 0.000 0.000 0.000
Cu 0.250 0.250 0.250
Cu 0.500 0.500 0.500
Se 0.750 0.750 0.750

SrCu2Se | GGA-PBE | relaxed

electronic total energy = -3.55 eV per atom
D(E_F) = 1.611 states/eV per cell

a b c (Å): 5.884 5.884 5.884
angles (deg): 43.49 43.49 43.49
Element x y z (fractional)
Sr 0.000 0.000 0.000
Cu 0.204 0.204 0.204
Cu 0.796 0.796 0.796
Se 0.500 0.500 0.500

SrCu2Se | GGA-PBE | relaxed

electronic total energy = -3.75 eV per atom
D(E_F) = 0.311 states/eV per cell

a b c (Å): 3.815 3.815 5.900
angles (deg): 90.00 90.27 90.00
Element x y z (fractional)
Sr 0.000 0.000 0.000
Cu 0.499 0.000 0.463
Cu 0.998 0.500 0.464
Se 0.498 0.500 0.754

SrCu2Se | GGA-PBE | relaxed

electronic total energy = -3.67 eV per atom
D(E_F) = 0.695 states/eV per cell

a b c (Å): 5.161 5.161 5.161
angles (deg): 131.88 109.03 90.36
Element x y z (fractional)
Sr 0.000 0.000 0.000
Cu 0.322 0.822 0.500
Cu 0.496 0.496 0.000
Se 0.675 0.175 0.500

SrCuSe3 | GGA-PBE | relaxed

D(E_F) = 1.735 states/eV per cell
ΔE to the lowest computed polymorph = 1.142 eV/atom

a b c (Å): 5.845 5.845 5.845
angles (deg): 90.00 90.00 90.00
Element x y z (fractional)
Sr 0.000 0.000 0.000
Cu 0.500 0.500 0.500
Se 0.000 0.000 0.500
Se 0.000 0.500 0.000
Se 0.500 0.000 0.000

SrCu2Se2 | GGA-PBE | relaxed

electronic total energy = -3.67 eV per atom
D(E_F) = 2.773 states/eV per cell

a b c (Å): 7.755 7.755 3.567
angles (deg): 90.00 90.00 90.00
Element x y z (fractional)
Sr 0.000 0.000 0.000
Sr 0.500 0.500 0.000
Cu 0.114 0.386 0.500
Cu 0.386 0.886 0.500
Cu 0.614 0.114 0.500
Cu 0.886 0.614 0.500
Se 0.157 0.657 0.000
Se 0.343 0.157 0.000
Se 0.657 0.843 0.000
Se 0.843 0.343 0.000

| no. | V (Å³ per cell) |
| --- | --- |
| 1 | 84.7 |
| 2 | 87.5 |
| 3 | 85.9 |
| 4 | 91.7 |
| 5 | 199.7 |
| 6 | 214.5 |